# 1
Entry from the Alexandria database: an optimized crystal structure of ZnOsW (PBE).

The structure in POSCAR format:
```
ZnOsW
1.0
2.796 0.000 0.000
-1.398 2.422 0.000
0.000 0.000 6.712
Zn Os W
1 1 1
Direct
0.000 0.000 0.000
0.667 0.333 0.335
0.333 0.667 0.651
```

Values from the calculation:
M_tot in μB per formula unit: 0.00
Energy relative to the elements in eV/atom: 0.1569
Volume in Å³/atom: 15.15
Energy above the most stable polymorph in this dataset in meV/atom: 94
DOS(E_F) in states/eV/cell: 2.27
E in eV for the cell shown: -24.99

# 2
Entry from the Alexandria database: an optimized crystal structure of Zn2Os2W (PBE).

The structure in POSCAR format:
```
Zn2Os2W
1.0
6.899 0.000 0.000
0.000 6.899 0.000
0.000 0.000 3.184
Zn Os W
4 4 2
Direct
0.163 0.337 0.000
0.337 0.837 0.000
0.663 0.163 0.000
0.837 0.663 0.000
0.136 0.636 0.500
0.364 0.136 0.500
0.636 0.864 0.500
0.864 0.364 0.500
0.000 0.000 0.500
0.500 0.500 0.500
```

Values from the calculation:
M_tot in μB per formula unit: 0.00
Energy relative to the elements in eV/atom: 0.5674
Volume in Å³/atom: 15.15
Energy above the most stable polymorph in this dataset in meV/atom: 192
DOS(E_F) in states/eV/cell: 6.05
E in eV for the cell shown: -70.25